[1]
Ho2PaAl: relaxed, PBE.

```
data_Ho2PaAl
_cell_length_a 3.2599
_cell_length_b 3.2599
_cell_length_c 34.0177
_cell_angle_alpha 90.00
_cell_angle_beta 90.00
_cell_angle_gamma 120.00
_space_group_name_H-M_alt 'R -3 m'
_space_group_IT_number 166
_space_group_name_Hall '-R 3 2"'
loop_
_atom_site_label
_atom_site_fract_x
_atom_site_fract_y
_atom_site_fract_z
Ho1 0.0000 0.0000 0.0958
Pa1 0.0000 0.0000 0.0000
Al1 0.0000 0.0000 0.5000
```

Results
**DFT total energy**: -5.416 eV per atom



[2]
Mn2CdCu: relaxed, PBE.

```
data_Mn2CdCu
_cell_length_a 9.1566
_cell_length_b 2.8539
_cell_length_c 4.8092
_cell_angle_alpha 90.00
_cell_angle_beta 102.39
_cell_angle_gamma 90.00
_space_group_name_H-M_alt 'C 1 m 1'
_space_group_IT_number 8
loop_
_space_group_symop_operation_xyz
'x,y,z'
'x,-y,z'
'x+1/2,y+1/2,z'
'x+1/2,-y+1/2,z'
loop_
_atom_site_label
_atom_site_fract_x
_atom_site_fract_y
_atom_site_fract_z
Mn1 0.0000 0.0000 0.0000
Mn2 0.2464 0.5000 0.2387
Cd1 0.0067 0.5000 0.5082
Cu1 0.2595 0.0000 0.7758
```

Results
**DFT total energy**: -5.515 eV per atom



[3]
SrCrCl3: relaxed, PBE.

```
data_SrCrCl3
_cell_length_a 5.6088
_cell_length_b 5.6088
_cell_length_c 5.6088
_cell_angle_alpha 90.00
_cell_angle_beta 90.00
_cell_angle_gamma 90.00
_space_group_name_H-M_alt 'P m -3 m'
_space_group_IT_number 221
_space_group_name_Hall '-P 4 2 3'
loop_
_atom_site_label
_atom_site_fract_x
_atom_site_fract_y
_atom_site_fract_z
Sr1 0.0000 0.0000 0.0000
Cr1 0.5000 0.5000 0.5000
Cl1 0.0000 0.0000 0.5000
```

Results
**ΔE_f (raw)**: -1.053 eV/atom



[4]
Sn2BiIr2: relaxed, PBE.

```
data_Sn2BiIr2
_cell_length_a 4.2447
_cell_length_b 4.2447
_cell_length_c 12.0673
_cell_angle_alpha 90.00
_cell_angle_beta 90.00
_cell_angle_gamma 90.00
_space_group_name_H-M_alt 'I 4/m m m'
_space_group_IT_number 139
_space_group_name_Hall '-I 4 2'
loop_
_atom_site_label
_atom_site_fract_x
_atom_site_fract_y
_atom_site_fract_z
Sn1 0.0000 0.5000 0.2500
Bi1 0.0000 0.0000 0.0000
Ir1 0.0000 0.0000 0.3887
```

Results
**DFT total energy**: -5.851 eV per atom



[5]
LiCa2RuO6: relaxed, PBE.

```
data_LiCa2RuO6
_cell_length_a 5.3934
_cell_length_b 5.6722
_cell_length_c 9.3163
_cell_angle_alpha 90.00
_cell_angle_beta 124.92
_cell_angle_gamma 90.00
_space_group_name_H-M_alt 'P 1 21/c 1'
_space_group_IT_number 14
loop_
_space_group_symop_operation_xyz
'x,y,z'
'-x,-y,-z'
'-x,y+1/2,-z+1/2'
'x,-y+1/2,z+1/2'
loop_
_atom_site_label
_atom_site_fract_x
_atom_site_fract_y
_atom_site_fract_z
Li1 0.0000 0.0000 0.0000
Ca1 0.2310 0.0678 0.7467
Ru1 0.5000 0.0000 0.5000
O1 0.1636 0.1850 0.4541
O2 0.2686 0.7172 0.4478
O3 0.3542 0.0284 0.2597
```

Results
**ΔE_f (raw)**: -1.871 eV/atom



[6]
YPIr2: relaxed, PBE.

```
data_YPIr2
_cell_length_a 7.2028
_cell_length_b 7.2028
_cell_length_c 5.8291
_cell_angle_alpha 90.00
_cell_angle_beta 90.00
_cell_angle_gamma 90.00
_space_group_name_H-M_alt 'I -4 2 d'
_space_group_IT_number 122
_space_group_name_Hall 'I -4 2bw'
loop_
_atom_site_label
_atom_site_fract_x
_atom_site_fract_y
_atom_site_fract_z
Y1 0.0000 0.0000 0.0000
P1 0.0000 0.0000 0.5000
Ir1 0.1543 0.2500 0.6250
```

Results
**DFT total energy**: -7.939 eV per atom



[7]
Ba3PaGe2N6: relaxed, PBE.

```
data_Ba3PaGe2N6
_cell_length_a 6.1753
_cell_length_b 6.1753
_cell_length_c 7.2789
_cell_angle_alpha 90.00
_cell_angle_beta 90.00
_cell_angle_gamma 120.00
_space_group_name_H-M_alt 'P -3 m 1'
_space_group_IT_number 164
_space_group_name_Hall '-P 3 2"'
loop_
_atom_site_label
_atom_site_fract_x
_atom_site_fract_y
_atom_site_fract_z
Ba1 0.0000 0.0000 0.0000
Ba2 0.3333 0.6667 0.6740
Pa1 0.0000 0.0000 0.5000
Ge1 0.3333 0.6667 0.2401
N1 0.1689 0.3379 0.3114
```

Results
**ΔE_f (raw)**: -0.708 eV/atom



[8]
TbZn2Cu8: relaxed, PBE.

```
data_TbZn2Cu8
_cell_length_a 6.1760
_cell_length_b 6.1760
_cell_length_c 4.8006
_cell_angle_alpha 90.00
_cell_angle_beta 90.00
_cell_angle_gamma 90.00
_space_group_name_H-M_alt 'P 4/m m m'
_space_group_IT_number 123
_space_group_name_Hall '-P 4 2'
loop_
_atom_site_label
_atom_site_fract_x
_atom_site_fract_y
_atom_site_fract_z
Tb1 0.0000 0.0000 0.0000
Zn1 0.0000 0.5000 0.5000
Cu1 0.3018 0.3018 0.2477
```

Results
**DFT total energy**: -3.399 eV per atom



[9]
PmPF: relaxed, PBE.

```
data_PmPF
_cell_length_a 4.0108
_cell_length_b 4.0108
_cell_length_c 4.2319
_cell_angle_alpha 90.00
_cell_angle_beta 90.00
_cell_angle_gamma 120.00
_space_group_name_H-M_alt 'P -6 m 2'
_space_group_IT_number 187
_space_group_name_Hall 'P -6 2'
loop_
_atom_site_label
_atom_site_fract_x
_atom_site_fract_y
_atom_site_fract_z
Pm1 0.0000 0.0000 0.0000
P1 0.6667 0.3333 0.5000
F1 0.3333 0.6667 0.0000
```

Results
**ΔE_f (raw)**: -2.043 eV/atom



[10]
Co2As2Se: relaxed, PBE.

```
data_Co2As2Se
_cell_length_a 4.0764
_cell_length_b 4.0764
_cell_length_c 9.6211
_cell_angle_alpha 90.00
_cell_angle_beta 90.00
_cell_angle_gamma 90.00
_space_group_name_H-M_alt 'I 4/m m m'
_space_group_IT_number 139
_space_group_name_Hall '-I 4 2'
loop_
_atom_site_label
_atom_site_fract_x
_atom_site_fract_y
_atom_site_fract_z
Co1 0.0000 0.5000 0.2500
As1 0.0000 0.0000 0.1310
Se1 0.0000 0.0000 0.5000
```

Results
**ΔE_f (raw)**: 0.127 eV/atom



[11]
CaYSi4: relaxed, PBE.

```
data_CaYSi4
_cell_length_a 9.0817
_cell_length_b 7.4592
_cell_length_c 3.8985
_cell_angle_alpha 90.00
_cell_angle_beta 115.28
_cell_angle_gamma 90.00
_space_group_name_H-M_alt 'C 1 2/m 1'
_space_group_IT_number 12
loop_
_space_group_symop_operation_xyz
'x,y,z'
'-x,-y,-z'
'-x,y,-z'
'x,-y,z'
'x+1/2,y+1/2,z'
'-x+1/2,-y+1/2,-z'
'-x+1/2,y+1/2,-z'
'x+1/2,-y+1/2,z'
loop_
_atom_site_label
_atom_site_fract_x
_atom_site_fract_y
_atom_site_fract_z
Ca1 0.0000 0.0000 0.0000
Y1 0.0000 0.5000 0.5000
Si1 0.2491 0.3386 0.2492
```

Results
**ΔE_f (raw)**: -0.424 eV/atom



[12]
TbTh2Si6: relaxed, PBE.

```
data_TbTh2Si6
_cell_length_a 7.1260
_cell_length_b 7.1260
_cell_length_c 4.1206
_cell_angle_alpha 90.00
_cell_angle_beta 90.00
_cell_angle_gamma 120.00
_space_group_name_H-M_alt 'P 6/m m m'
_space_group_IT_number 191
_space_group_name_Hall '-P 6 2'
loop_
_atom_site_label
_atom_site_fract_x
_atom_site_fract_y
_atom_site_fract_z
Tb1 0.0000 0.0000 0.0000
Th1 0.3333 0.6667 0.0000
Si1 0.0000 0.3322 0.5000
```

Results
**ΔE_f (raw)**: -0.594 eV/atom